Ac2Al3CrPt12 after structural relaxation. Source: the Alexandria database, functional GGA-PBE.

D(E_F) in states/eV/atom: 0.52
Crystal system: trigonal
M_tot in μB/f.u.: 2.280
ΔE_f in eV per atom: -0.54

```
Ac2Al3CrPt12
1.0
3.431 1.981 8.676
-3.431 1.981 8.676
0.000 -3.961 8.676
Ac Al Cr Pt
2 3 1 12
Direct
0.155 0.155 0.155
0.845 0.845 0.845
0.000 0.500 0.500
0.500 0.000 0.500
0.500 0.500 0.000
0.500 0.500 0.500
0.092 0.092 0.680
0.092 0.680 0.092
0.151 0.571 0.571
0.320 0.908 0.908
0.429 0.429 0.849
0.429 0.849 0.429
0.571 0.151 0.571
0.571 0.571 0.151
0.680 0.092 0.092
0.849 0.429 0.429
0.908 0.320 0.908
0.908 0.908 0.320
```



Ac2AlCrSe6 after structural relaxation. Source: the Alexandria database, functional GGA-PBE.

D(E_F) in states/eV/atom: 0.01
Crystal system: monoclinic
M_tot in μB/f.u.: 2.990
Formation energy from raw total energies in kJ/mol of atoms: -127.7

```
Ac2AlCrSe6
1.0
6.868 0.000 0.000
0.000 7.360 0.000
-6.838 0.000 9.943
Ac Al Cr Se
4 2 2 12
Direct
0.219 0.097 0.251
0.219 0.403 0.751
0.781 0.597 0.249
0.781 0.903 0.749
0.500 0.000 0.000
0.500 0.500 0.500
0.000 0.000 0.500
0.000 0.500 0.000
0.145 0.191 0.958
0.145 0.309 0.458
0.266 0.691 0.957
0.266 0.809 0.457
0.341 0.502 0.250
0.341 0.998 0.750
0.659 0.002 0.250
0.659 0.498 0.750
0.734 0.191 0.543
0.734 0.309 0.043
0.855 0.691 0.542
0.855 0.809 0.042
```



CsAc2Al after structural relaxation. Source: the Alexandria database, functional GGA-PBE.

D(E_F) in states/eV/atom: 1.36
Crystal system: trigonal
M_tot in μB/f.u.: 0.005
ΔE_f in eV per atom: 0.18

```
CsAc2Al
1.0
2.061 1.190 12.962
-2.061 1.190 12.962
0.000 -2.380 12.962
Cs Ac Al
1 2 1
Direct
0.000 0.000 0.000
0.109 0.109 0.109
0.891 0.891 0.891
0.500 0.500 0.500
```



CsAc2Al after structural relaxation. Source: the Alexandria database, functional GGA-PBE.

D(E_F) in states/eV/atom: 1.17
Crystal system: tetragonal
M_tot in μB/f.u.: 0.000
ΔE_f in eV per atom: 0.08

```
CsAc2Al
1.0
4.068 0.000 0.000
0.000 4.068 0.000
0.000 0.000 11.422
Cs Ac Al
1 2 1
Direct
0.000 0.000 0.000
0.500 0.500 0.343
0.500 0.500 0.657
0.000 0.000 0.500
```



Cs4Ac3AlO8 after structural relaxation. Source: the Alexandria database, functional GGA-PBE.

D(E_F) in states/eV/atom: 0.00
Crystal system: monoclinic
M_tot in μB/f.u.: 0.000
Formation energy from raw total energies in kJ/mol of atoms: -219.3

```
Cs4Ac3AlO8
1.0
6.822 -3.659 0.000
6.822 3.659 0.000
-3.735 0.000 7.092
Cs Ac Al O
4 3 1 8
Direct
0.000 0.000 0.000
0.000 0.500 0.000
0.500 0.000 0.000
0.500 0.500 0.000
0.000 0.000 0.500
0.000 0.500 0.500
0.500 0.000 0.500
0.500 0.500 0.500
0.207 0.207 0.675
0.220 0.220 0.276
0.276 0.657 0.631
0.343 0.724 0.369
0.657 0.276 0.631
0.724 0.343 0.369
0.780 0.780 0.724
0.793 0.793 0.325
```



Cs3AcAl2O6 after structural relaxation. Source: the Alexandria database, functional GGA-PBE.

D(E_F) in states/eV/atom: 0.00
Crystal system: trigonal
M_tot in μB/f.u.: 0.000
Formation energy from raw total energies in kJ/mol of atoms: -226.9

```
Cs3AcAl2O6
1.0
6.415 0.000 0.000
-3.207 5.555 0.000
0.000 0.000 7.924
Cs Ac Al O
3 1 2 6
Direct
0.000 0.000 0.000
0.333 0.667 0.755
0.667 0.333 0.245
0.000 0.000 0.500
0.333 0.667 0.303
0.667 0.333 0.697
0.179 0.357 0.303
0.179 0.821 0.303
0.357 0.179 0.697
0.643 0.821 0.303
0.821 0.179 0.697
0.821 0.643 0.697
```



Cs2AcAl2O6 after structural relaxation. Source: the Alexandria database, functional GGA-PBE.

D(E_F) in states/eV/atom: 0.44
Crystal system: trigonal
M_tot in μB/f.u.: 1.043
Formation energy from raw total energies in kJ/mol of atoms: -221.8

```
Cs2AcAl2O6
1.0
3.194 1.844 6.780
-3.194 1.844 6.780
0.000 -3.689 6.780
Cs Ac Al O
2 1 2 6
Direct
0.205 0.205 0.205
0.795 0.795 0.795
0.000 0.000 0.000
0.409 0.409 0.409
0.591 0.591 0.591
0.255 0.255 0.719
0.255 0.719 0.255
0.281 0.745 0.745
0.719 0.255 0.255
0.745 0.281 0.745
0.745 0.745 0.281
```



CsAcAlO4 after structural relaxation. Source: the Alexandria database, functional GGA-PBE.

D(E_F) in states/eV/atom: 0.68
Crystal system: monoclinic
M_tot in μB/f.u.: 1.040
Formation energy from raw total energies in kJ/mol of atoms: -237.2

```
CsAcAlO4
1.0
6.235 0.000 0.000
0.000 6.037 0.000
-2.291 0.000 7.877
Cs Ac Al O
2 2 2 8
Direct
0.197 0.250 0.428
0.803 0.750 0.572
0.281 0.250 0.952
0.719 0.750 0.048
0.261 0.750 0.166
0.739 0.250 0.834
0.074 0.750 0.293
0.074 0.750 0.956
0.446 0.523 0.175
0.446 0.977 0.175
0.554 0.023 0.825
0.554 0.477 0.825
0.926 0.250 0.044
0.926 0.250 0.707
```



Cs3Ac3AlO8 after structural relaxation. Source: the Alexandria database, functional GGA-PBE.

D(E_F) in states/eV/atom: 0.80
Crystal system: monoclinic
M_tot in μB/f.u.: 1.018
Formation energy from raw total energies in kJ/mol of atoms: -222.8

```
Cs3Ac3AlO8
1.0
6.379 -3.678 0.000
6.379 3.678 0.000
-4.252 0.000 7.036
Cs Ac Al O
3 3 1 8
Direct
0.000 0.000 0.000
0.000 0.500 0.000
0.500 0.000 0.000
0.000 0.500 0.500
0.500 0.000 0.500
0.500 0.500 0.500
0.000 0.000 0.500
0.190 0.772 0.652
0.192 0.192 0.654
0.228 0.810 0.348
0.274 0.274 0.323
0.726 0.726 0.677
0.772 0.190 0.652
0.808 0.808 0.346
0.810 0.228 0.348
```



Cs3Ac3AlS8 after structural relaxation. Source: the Alexandria database, functional GGA-PBE.

D(E_F) in states/eV/atom: 1.30
Crystal system: monoclinic
M_tot in μB/f.u.: 0.817
Formation energy from raw total energies in kJ/mol of atoms: -146.3

```
Cs3Ac3AlS8
1.0
7.439 -4.290 0.000
7.439 4.290 0.000
-4.965 0.000 8.242
Cs Ac Al S
3 3 1 8
Direct
0.000 0.000 0.000
0.000 0.500 0.000
0.500 0.000 0.000
0.000 0.500 0.500
0.500 0.000 0.500
0.500 0.500 0.500
0.000 0.000 0.500
0.199 0.199 0.670
0.200 0.771 0.670
0.229 0.800 0.330
0.268 0.268 0.305
0.732 0.732 0.695
0.771 0.200 0.670
0.800 0.229 0.330
0.801 0.801 0.330
```



CsAcAlS4 after structural relaxation. Source: the Alexandria database, functional GGA-PBE.

D(E_F) in states/eV/atom: 0.23
Crystal system: monoclinic
M_tot in μB/f.u.: 0.145
Formation energy from raw total energies in kJ/mol of atoms: -141.7

```
CsAcAlS4
1.0
7.366 0.000 0.000
0.000 5.885 0.000
-2.343 0.000 9.851
Cs Ac Al S
2 2 2 8
Direct
0.246 0.250 0.464
0.754 0.750 0.536
0.245 0.250 0.941
0.755 0.750 0.059
0.253 0.750 0.174
0.747 0.250 0.826
0.059 0.750 0.310
0.112 0.750 0.951
0.488 0.014 0.206
0.488 0.486 0.206
0.512 0.514 0.794
0.512 0.986 0.794
0.888 0.250 0.049
0.941 0.250 0.690
```



Cs2AcAlS4 after structural relaxation. Source: the Alexandria database, functional GGA-PBE.

Crystal system: monoclinic
M_tot in μB/f.u.: 0.000
Formation energy from raw total energies in kJ/mol of atoms: -122.3

```
Cs2AcAlS4
1.0
5.799 -6.027 0.000
5.799 6.027 0.000
-3.888 0.000 7.871
Cs Ac Al S
4 2 2 8
Direct
0.000 0.000 0.000
0.000 0.000 0.500
0.000 0.500 0.000
0.500 0.000 0.500
0.500 0.500 0.000
0.500 0.500 0.500
0.000 0.500 0.500
0.500 0.000 0.000
0.175 0.650 0.426
0.252 0.369 0.638
0.350 0.825 0.074
0.369 0.252 0.138
0.631 0.748 0.862
0.650 0.175 0.926
0.748 0.631 0.362
0.825 0.350 0.574
```